1.
First-principles (PBEsol) data for a relaxed structure of Na3SiMo, as listed in the Alexandria database.

Structure (extended XYZ):
```
5
Lattice="5.455 0.000 0.000 0.000 5.455 0.000 0.000 0.000 5.455" Properties=species:S:1:pos:R:3 pbc="T T T"
Na 0.000 0.000 2.728
Na 0.000 2.728 0.000
Na 2.728 0.000 0.000
Si 0.000 0.000 0.000
Mo 2.728 2.728 2.728
```

Raw formation energy in eV/atom: 1.4075


2.
First-principles (PBEsol) data for a relaxed structure of NaSi3Mo, as listed in the Alexandria database.

Structure (extended XYZ):
```
5
Lattice="4.744 0.000 0.000 0.000 4.744 0.000 0.000 0.000 4.744" Properties=species:S:1:pos:R:3 pbc="T T T"
Na 0.000 0.000 0.000
Si 0.000 2.372 2.372
Si 2.372 0.000 2.372
Si 2.372 2.372 0.000
Mo 2.372 2.372 2.372
```

Relative energy among the computed polymorphs in meV per atom: 0
Raw formation energy in eV/atom: 0.2714


Question: What is the raw formation energy in the second record?
Answer: 0.2714 eV/atom


Question: Which of these has the lowest raw formation energy?
Answer: NaSi3Mo


What did the second record say?
First-principles (PBEsol) data for a relaxed structure of NaSi3Mo, as listed in the Alexandria database.

Structure (extended XYZ):
```
5
Lattice="4.744 0.000 0.000 0.000 4.744 0.000 0.000 0.000 4.744" Properties=species:S:1:pos:R:3 pbc="T T T"
Na 0.000 0.000 0.000
Si 0.000 2.372 2.372
Si 2.372 0.000 2.372
Si 2.372 2.372 0.000
Mo 2.372 2.372 2.372
```

Relative energy among the computed polymorphs in meV per atom: 0
Raw formation energy in eV/atom: 0.2714


Question: Which formula does entry 2 have?
Answer: NaSi3Mo